(1)
! Ir5Br4 | Alexandria | PBE | optimized geometry; values from VASP
! polymorph energy (0 for the lowest one): 0.000 eV per atom
! formation energy (no corrections): 0.966 eV/atom
! energy: -4.7008 eV per atom
! symmetry: I4/mmm (139)
! D(E_F): 8.045 states/eV/f.u.
&SYSTEM
  ibrav = 0, nat = 9, ntyp = 2
/
ATOMIC_SPECIES
Ir 192.22 Ir.upf
Br 79.90 Br.upf
CELL_PARAMETERS angstrom
-5.313 5.313 1.450
5.313 -5.313 1.450
5.313 5.313 -1.450
ATOMIC_POSITIONS angstrom
Ir 0.000 0.000 0.000
Ir -1.768 1.768 1.450
Ir 1.768 -1.768 1.450
Ir 3.544 3.544 0.000
Ir 1.768 1.768 1.450
Br 0.000 7.527 0.000
Br 0.000 3.099 0.000
Br 3.099 0.000 0.000
Br 7.527 0.000 0.000

=====

(2)
! Si2Ni2Ge | Alexandria | PBE | optimized geometry; values from VASP
! polymorph energy (0 for the lowest one): 0.004 eV per atom
! formation energy (no corrections): -0.133 eV/atom
! energy: -5.5385 eV per atom
! symmetry: I4/mmm (139)
! D(E_F): 2.797 states/eV/f.u.
&SYSTEM
  ibrav = 0, nat = 5, ntyp = 3
/
ATOMIC_SPECIES
Ni 58.69 Ni.upf
Ge 72.64 Ge.upf
Si 28.09 Si.upf
CELL_PARAMETERS angstrom
-2.837 2.111 0.203
-0.823 -1.408 3.144
1.209 4.193 4.189
ATOMIC_POSITIONS angstrom
Ni -1.129 1.237 2.254
Ni -1.321 3.659 5.283
Ge 0.000 0.000 0.000
Si -1.729 3.328 3.033
Si -0.722 1.568 4.504

=====

(3)
! Ho6MgFe2 | Alexandria | PBE | optimized geometry; values from VASP
! energy of formation: -0.943 kcal/mol of atoms
! energy: -5.1505 eV per atom
! symmetry: Immm (71)
! D(E_F): 10.980 states/eV/f.u.
&SYSTEM
  ibrav = 0, nat = 18, ntyp = 3
/
ATOMIC_SPECIES
Ho 164.93 Ho.upf
Mg 24.30 Mg.upf
Fe 55.84 Fe.upf
CELL_PARAMETERS angstrom
-0.392 -2.307 -8.059
4.558 -5.391 4.538
-7.690 0.084 3.360
ATOMIC_POSITIONS angstrom
Ho -3.214 -4.966 1.741
Ho -0.310 -2.648 -1.903
Ho -4.965 -1.730 3.222
Ho 1.441 -5.885 -3.383
Ho -1.074 -5.928 -0.949
Ho -2.451 -1.686 0.788
Ho -4.157 -4.577 5.089
Ho 0.632 -3.037 -5.251
Ho -3.798 -3.681 -1.552
Ho 0.274 -3.934 1.390
Ho -0.923 -5.962 4.409
Ho -2.601 -1.652 -4.570
Mg -1.566 -2.654 3.949
Mg 0.000 0.000 0.000
Fe -5.268 -3.191 0.745
Fe 1.744 -4.423 -0.906
Fe -4.971 -1.367 -2.890
Fe -3.111 -0.856 -1.809